Entry one
K2NiMo | the Alexandria database | PBE | relaxed; total magnetization = 0.000 μB/atom
1.0
2.782 0.000 0.000
0.000 5.860 0.000
-0.453 0.000 5.140
K Ni Mo
2 1 1
direct
0.214 0.000 0.258
0.786 0.000 0.742
0.000 0.500 0.500
0.500 0.500 0.000


Entry two
K2NiMo | the Alexandria database | PBE | relaxed; total magnetization = 0.000 μB/atom
1.0
2.860 0.000 0.000
0.000 3.819 0.000
-1.333 0.000 10.447
K Ni Mo
2 1 1
direct
0.000 0.000 0.000
0.239 0.500 0.422
0.401 0.500 0.762
0.866 0.000 0.685


Tell me which of them is the least stable. Sure, it is entry one.


Entry one
KNi2Mo | the Alexandria database | PBE | relaxed; total magnetization = 0.000 μB/atom
1.0
2.807 0.000 0.000
-1.403 2.431 0.000
0.000 0.000 28.824
K Ni Mo
3 6 3
direct
0.000 0.000 0.000
0.333 0.667 0.667
0.667 0.333 0.333
0.000 0.000 0.237
0.000 0.000 0.763
0.333 0.667 0.430
0.333 0.667 0.904
0.667 0.333 0.096
0.667 0.333 0.570
0.000 0.000 0.500
0.333 0.667 0.167
0.667 0.333 0.833


Entry two
KNi2Mo | the Alexandria database | PBE | relaxed; total magnetization = 0.308 μB/atom
1.0
2.863 0.000 0.000
0.000 5.877 0.000
0.000 0.000 9.684
K Ni Mo
2 4 2
direct
0.000 0.000 0.000
0.500 0.500 0.500
0.000 0.500 0.197
0.000 0.500 0.803
0.500 0.000 0.303
0.500 0.000 0.697
0.000 0.000 0.500
0.500 0.500 0.000


Tell me which of them is the least stable. Sure, it is entry two.


Entry one
KNi3Mo | the Alexandria database | PBE | relaxed; total magnetization = 0.000 μB/atom
1.0
4.668 0.000 0.000
0.000 4.668 0.000
0.000 0.000 4.668
K Ni Mo
1 3 1
direct
0.000 0.000 0.000
0.000 0.500 0.500
0.500 0.000 0.500
0.500 0.500 0.000
0.500 0.500 0.500


Entry two
KNi3Mo | the Alexandria database | PBE | relaxed; total magnetization = 0.865 μB/atom
1.0
4.425 0.000 0.000
0.000 4.425 0.000
0.000 0.000 4.425
K Ni Mo
1 3 1
direct
0.000 0.000 0.000
0.000 0.000 0.500
0.000 0.500 0.000
0.500 0.000 0.000
0.500 0.500 0.500


Tell me which of them is the least stable. Sure, it is entry two.